(1)
Compound: Tb2Pm5DyTh
Source: Alexandria
Functional: PBE
Structure: optimized geometry

Unit cell a=10.6283 b=10.6283 c=10.5740 alpha=90.00 beta=90.00 gamma=149.09
With the nearest neighbours (Å) after each atom.
Element x y z (fractional)
Tb: 0.1130 0.8870 0.5000  1 Th 3.41, 7 Pm 3.48-3.72, 2 Dy 3.69
Tb: 0.1155 0.8845 0.0783  8 Pm 3.30-3.61, 1 Th 3.62
Tb: 0.8845 0.1155 0.5783  8 Pm 3.30-3.61, 1 Th 3.62
Tb: 0.8870 0.1130 0.0000  1 Th 3.41, 7 Pm 3.48-3.72, 2 Dy 3.69
Pm: 0.0147 0.9853 0.7835  2 Dy 3.33, 3 Tb 3.44-3.61, 2 Pm 3.70
Pm: 0.2764 0.7236 0.0771  1 Dy 3.06, 1 Tb 3.30, 2 Pm 3.38
Pm: 0.2939 0.7061 0.4686  2 Pm 3.38, 1 Dy 3.49, 2 Th 3.49, 3 Tb 3.58-3.72
Pm: 0.3871 0.6129 0.7901  6 Pm 3.54-3.90, 4 Tb 3.60-3.61, 1 Th 3.86
Pm: 0.4806 0.5194 0.5083  2 Dy 3.23-3.40, 2 Tb 3.53, 2 Pm 3.54-3.56
Pm: 0.5194 0.4806 0.0083  2 Dy 3.23-3.40, 2 Tb 3.53, 2 Pm 3.54-3.56
Pm: 0.6129 0.3871 0.2901  6 Pm 3.54-3.90, 4 Tb 3.60-3.61, 1 Th 3.86
Pm: 0.7061 0.2939 0.9686  2 Pm 3.38, 1 Dy 3.49, 2 Th 3.49, 3 Tb 3.58-3.72
Pm: 0.7236 0.2764 0.5771  1 Dy 3.06, 1 Tb 3.30, 2 Pm 3.38
Pm: 0.9853 0.0147 0.2835  2 Dy 3.33, 3 Tb 3.44-3.61, 2 Pm 3.70
Dy: 0.4062 0.5938 0.2208  5 Pm 3.06-3.40
Dy: 0.5938 0.4062 0.7208  5 Pm 3.06-3.40
Th: 0.1989 0.8011 0.7760  2 Tb 3.41-3.62, 7 Pm 3.49-3.79, 2 Dy 3.61
Th: 0.8011 0.1989 0.2760  2 Tb 3.41-3.62, 7 Pm 3.49-3.79, 2 Dy 3.61

Results
* Fermi-level density of states: 1.525 states/eV/atom
* calculated total energy: -4.850 eV/atom
* total moment: 0.0 μB/f.u.

---

(2)
Compound: PuThPb2
Source: Alexandria
Functional: PBE
Structure: optimized geometry

Unit cell a=5.0465 b=5.0465 c=4.5933 alpha=90.00 beta=90.00 gamma=90.00
With the nearest neighbours (Å) after each atom.
Element x y z (fractional)
Pu: 0.0000 0.0000 0.0000  8 Pb 3.41, 4 Th 3.57
Th: 0.5000 0.5000 0.0000  8 Pb 3.41, 4 Pu 3.57
Pb: 0.0000 0.5000 0.5000  4 Th 3.41, 4 Pu 3.41, 4 Pb 3.57
Pb: 0.5000 0.0000 0.5000  4 Th 3.41, 4 Pu 3.41, 4 Pb 3.57

Results
* Fermi-level density of states: 3.104 states/eV/atom
* total moment: 6.5 μB/f.u.
* polymorph energy (0 for the lowest one): 0.035 eV per atom

---

(3)
Compound: TaNiSb2
Source: Alexandria
Functional: PBE
Structure: optimized geometry

Unit cell a=5.5977 b=5.5977 c=5.5977 alpha=138.48 beta=138.48 gamma=60.16
With the nearest neighbours (Å) after each atom.
Element x y z (fractional)
Ta: 0.0000 0.0000 0.0000  8 Sb 2.81-3.13, 4 Ni 3.13
Ni: 0.2500 0.7500 0.5000  8 Sb 2.81-3.13, 4 Ta 3.13
Sb: 0.5000 0.5000 0.0000  4 Ta 2.81, 4 Sb 3.13, 4 Ni 3.13
Sb: 0.7500 0.2500 0.5000  4 Ni 2.81, 4 Sb 3.13, 4 Ta 3.13

Results
* Fermi-level density of states: 0.735 states/eV/atom
* formation energy (no corrections): 0.295 eV per atom
* total moment: 0.0 μB/f.u.
* polymorph energy (0 for the lowest one): 0.366 eV per atom

---

(4)
Compound: Th8Ru3PtSe4
Source: Alexandria
Functional: PBE
Structure: optimized geometry

Unit cell a=8.7597 b=8.7597 c=8.7597 alpha=56.09 beta=56.09 gamma=56.09
With the nearest neighbours (Å) after each atom.
Element x y z (fractional)
Th: 0.2305 0.7426 0.7426  2 Ru 2.84, 1 Pt 2.91, 1 Se 3.12
Th: 0.2387 0.2387 0.2387  3 Ru 2.86, 3 Se 3.16
Th: 0.2574 0.2574 0.7695  2 Ru 2.84, 1 Pt 2.91, 1 Se 3.12
Th: 0.2574 0.7695 0.2574  2 Ru 2.84, 1 Pt 2.91, 1 Se 3.12
Th: 0.7426 0.2305 0.7426  2 Ru 2.84, 1 Pt 2.91, 1 Se 3.12
Th: 0.7426 0.7426 0.2305  2 Ru 2.84, 1 Pt 2.91, 1 Se 3.12
Th: 0.7613 0.7613 0.7613  3 Ru 2.86, 3 Se 3.16
Th: 0.7695 0.2574 0.2574  2 Ru 2.84, 1 Pt 2.91, 1 Se 3.12
Ru: 0.0000 0.0000 0.5000  6 Th 2.84-2.86
Ru: 0.0000 0.5000 0.0000  6 Th 2.84-2.86
Ru: 0.5000 0.0000 0.0000  6 Th 2.84-2.86
Pt: 0.5000 0.5000 0.5000  6 Th 2.91
Se: 0.0000 0.0000 0.0000  6 Th 3.12
Se: 0.0000 0.5000 0.5000  6 Th 3.16-3.19
Se: 0.5000 0.0000 0.5000  6 Th 3.16-3.19
Se: 0.5000 0.5000 0.0000  6 Th 3.16-3.19

Results
* Fermi-level density of states: 0.550 states/eV/atom
* formation energy (no corrections): -1.148 eV per atom
* total moment: 0.0 μB/f.u.

---

(5)
Compound: KTlTc2
Source: Alexandria
Functional: PBE
Structure: optimized geometry

Unit cell a=5.9408 b=5.9408 c=2.6995 alpha=90.00 beta=90.00 gamma=121.64
With the nearest neighbours (Å) after each atom.
Element x y z (fractional)
K: 0.0000 0.0000 0.0000  2 K 2.70, 2 Tl 2.90
Tl: 0.5000 0.5000 0.0000  2 Tl 2.70, 2 K 2.90
Tc: 0.0000 0.5000 0.5000  4 Tc 2.70-2.90
Tc: 0.5000 0.0000 0.5000  4 Tc 2.70-2.90

Results
* Fermi-level density of states: 1.129 states/eV/atom
* total moment: 0.0 μB/f.u.
* polymorph energy (0 for the lowest one): 0.890 eV per atom

---

(6)
Compound: AsH2Ir
Source: Alexandria
Functional: PBE
Structure: optimized geometry

Unit cell a=2.9754 b=4.4944 c=4.5619 alpha=118.97 beta=108.74 gamma=90.61
With the nearest neighbours (Å) after each atom.
Element x y z (fractional)
As: 0.0000 0.0000 0.0000  1 H 1.64
H: 0.1254 0.4265 0.2348  1 As 1.64
H: 0.3728 0.3219 0.7241  1 Ir 1.58
Ir: 0.2613 0.9120 0.5183  1 H 1.58

Results
* Fermi-level density of states: 0.133 states/eV/atom
* total moment: 0.0 μB/f.u.
* polymorph energy (0 for the lowest one): 0.080 eV per atom